# ErTiSe2

An optimized crystal structure of ErTiSe2 (PBE-GGA, the Alexandria database).

POSCAR file:
```
ErTiSe2
1.0
-0.419 2.291 3.132
-0.846 -1.573 3.470
5.679 -0.327 3.431
Ti Se Er
1 2 1
direct
0.000 0.000 0.000 Ti
0.257 0.257 0.228 Se
0.743 0.743 0.772 Se
0.500 0.500 0.500 Er
```

* energy relative to the elements, uncorrected: -121.8 kJ per mole of atoms

---

# BaSn

An optimized crystal structure of BaSn (PBE-GGA, the Alexandria database).

POSCAR file:
```
BaSn
1.0
5.052 0.000 0.000
0.000 5.052 0.000
-2.526 -2.526 12.718
Ba Sn
4 4
direct
0.443 0.943 0.885 Ba
0.693 0.693 0.385 Ba
0.307 0.307 0.615 Ba
0.057 0.557 0.115 Ba
0.590 0.090 0.180 Sn
0.840 0.840 0.680 Sn
0.160 0.160 0.320 Sn
0.910 0.410 0.820 Sn
```

* ΔE_f: -0.68 eV/atom

---

# KRb2UBr8

An optimized crystal structure of KRb2UBr8 (PBE-GGA, the Alexandria database).

POSCAR file:
```
KRb2UBr8
1.0
7.358 -0.222 0.006
-0.144 7.842 -0.005
0.023 0.019 10.275
K Rb U Br
1 2 1 8
direct
0.000 0.000 0.500 K
0.498 0.497 0.732 Rb
0.502 0.503 0.268 Rb
0.000 0.000 0.000 U
0.144 0.806 0.186 Br
0.698 0.789 0.998 Br
0.852 0.191 0.187 Br
0.856 0.194 0.814 Br
0.302 0.211 0.002 Br
0.148 0.809 0.813 Br
0.686 0.728 0.502 Br
0.314 0.272 0.498 Br
```

* energy relative to the elements, uncorrected: -140.4 kJ per mole of atoms

---

# ZnSiBr2

An optimized crystal structure of ZnSiBr2 (PBE-GGA, the Alexandria database).

POSCAR file:
```
ZnSiBr2
1.0
-5.128 -3.862 -4.031
-1.184 -7.210 -2.020
1.649 5.140 5.322
Br Si Zn
2 1 1
direct
0.000 0.000 0.000 Br
0.250 0.750 0.500 Br
0.500 0.500 0.000 Si
0.750 0.250 0.500 Zn
```

* E above lowest polymorph: 450 meV per atom
* energy relative to the elements, uncorrected: 28.0 kJ per mole of atoms

---

no.,volume (Å³/atom)
1,20.61
2,40.57
3,49.38
4,27.16